Record 1
Here is HfBO3 after structural relaxation from Alexandria via LeMat-Bulk. Energies are from PBE.

Cell: 3.398 3.398 3.398 Å, 90.00 90.00 90.00°
Atoms (fractional coordinates):
Hf (0.500, 0.500, 0.500)
O (0.000, 0.000, 0.500)
O (0.000, 0.500, 0.000)
B (0.000, 0.000, 0.000)
O (0.500, 0.000, 0.000)

## Properties
Its uncorrected formation energy is -154 kJ per mole of atoms. The density comes out at 10.0 Mg/m³. The size of the total moment is 0.00 μB per formula unit. For the density of states at the Fermi level, the calculation gives 0.294 states/eV per atom.

***

Record 2
Here is Hf2B4O after structural relaxation from Alexandria via LeMat-Bulk. Energies are from PBE.

Cell: 3.800 3.800 6.097 Å, 71.85 71.85 90.00°
Atoms (fractional coordinates):
B (0.869, 0.869, 0.262)
Hf (0.348, 0.348, 0.304)
B (0.131, 0.131, 0.738)
Hf (0.652, 0.652, 0.696)
B (0.500, 0.000, 0.000)
O (0.000, 0.000, 0.000)
B (0.000, 0.500, 0.000)

## Properties
Its uncorrected formation energy is 27 kJ per mole of atoms. The density comes out at 8.7 Mg/m³. The size of the total moment is 0.00 μB per formula unit. For the density of states at the Fermi level, the calculation gives 0.278 states/eV per atom.

***

- Which value of size of the total moment does entry 2 give?
  0.00 μB per formula unit